Entry 1:
A relaxed structure of Ta2CrAg. Source: the Alexandria database, functional PBE-GGA.

Cell lengths 4.024, 4.024, 4.129 Å; angles 90.00, 90.00, 90.00 degrees
Space group P4/mmm (No. 123)
One atom of each set of equivalent atoms:
Ta  0.000  0.500  0.000
Cr  0.000  0.000  0.500
Ag  0.500  0.500  0.500

Energy in eV/atom: -8.657
E above lowest polymorph in eV per formula unit: 0.72
Total moment in Bohr magnetons per cell: 2.07

***

Entry 2:
A relaxed structure of PrYGa2Ni2. Source: the Alexandria database, functional PBE-GGA.

Cell lengths 4.2745, 4.2745, 7.5319 Å; angles 90.00, 90.00, 120.00 degrees
Space group P-3m1 (No. 164)
One atom of each set of equivalent atoms:
Pr  0.0000  0.0000  0.0000
Y  0.0000  0.0000  0.5000
Ga  0.3333  0.6667  0.2662
Ni  0.3333  0.6667  0.7315

Energy in eV/atom: -5.376
Total moment in Bohr magnetons per cell: 0.00

***

Entry 3:
A relaxed structure of LiScGe. Source: the Alexandria database, functional PBE-GGA.

Cell lengths 6.655, 4.161, 7.564 Å; angles 90.00, 90.00, 90.00 degrees
Space group Pnma (No. 62)
One atom of each set of equivalent atoms:
Li  0.164  0.250  0.070
Sc  0.013  0.250  0.706
Ge  0.243  0.750  0.899

Energy in eV/atom: -4.912
Total moment in Bohr magnetons per cell: 0.00

***

Entry 4:
A relaxed structure of LaY6Tm12. Source: the Alexandria database, functional PBE-GGA.

Cell lengths 13.3330, 13.3330, 12.5891 Å; angles 90.00, 90.00, 120.00 degrees
Space group R-3m (No. 166, hexagonal axes)
One atom of each set of equivalent atoms:
La  0.0000  0.0000  0.0000
Y  0.0210  0.5105  0.7172
Tm  0.0000  0.3818  0.5000
Tm  0.0955  0.1910  0.3748

Energy in eV/atom: -4.658
E above lowest polymorph in eV per formula unit: 0.48
Total moment in Bohr magnetons per cell: 0.04

***

Entry 5:
A relaxed structure of Ho2Tl4S5. Source: the Alexandria database, functional PBE-GGA.

Cell lengths 4.0456, 4.0456, 73.8005 Å; angles 90.00, 90.00, 120.00 degrees
Space group R-3m (No. 166, hexagonal axes)
One atom of each set of equivalent atoms:
Ho  0.0000  0.0000  0.1429
Tl  0.0000  0.0000  0.3112
Tl  0.0000  0.0000  0.4111
S  0.0000  0.0000  0.2070
S  0.0000  0.0000  0.3763
S  0.0000  0.0000  0.5000

Formation energy from raw total energies in eV/atom: -0.9753
Energy in eV/atom: -4.544
Total moment in Bohr magnetons per cell: 0.00

***

Entry 6:
A relaxed structure of Tb2AsO. Source: the Alexandria database, functional PBE-GGA.

Cell lengths 3.7059, 3.7059, 20.1595 Å; angles 90.00, 90.00, 120.00 degrees
Space group R3m (No. 160, hexagonal axes)
One atom of each set of equivalent atoms:
Tb  0.0000  0.0000  0.0000
Tb  0.0000  0.0000  0.1562
As  0.0000  0.0000  0.5779
O  0.0000  0.0000  0.4046

Formation energy from raw total energies in eV/atom: -1.7925
Energy in eV/atom: -6.510
E above lowest polymorph in eV per formula unit: 0.91
Total moment in Bohr magnetons per cell: 0.02

***

What is the total moment in the first record?
2.07 Bohr magnetons per cell